Density functional theory data (PBE-GGA) for a relaxed structure of CsTl3Zn.

Properties
energy of formation: 17.4 meV per atom
energy relative to the lowest polymorph listed for this composition: 0.066 eV/atom

Geometry as CIF:
```
data_CsTl3Zn
_cell_length_a 6.049
_cell_length_b 7.978
_cell_length_c 8.165
_cell_angle_alpha 90.01
_cell_angle_beta 90.07
_cell_angle_gamma 90.36
_space_group_name_H-M_alt 'P 1'
_space_group_IT_number 1
loop_
_space_group_symop_operation_xyz
'x,y,z'
loop_
_atom_site_label
_atom_site_type_symbol
_atom_site_fract_x
_atom_site_fract_y
_atom_site_fract_z
Cs1 Cs 0.000 0.000 0.000
Cs2 Cs 0.498 0.500 0.256
Tl1 Tl 0.014 0.294 0.509
Tl2 Tl 0.020 0.702 0.508
Tl3 Tl 0.344 0.001 0.387
Tl4 Tl 0.515 0.793 0.748
Tl5 Tl 0.521 0.203 0.749
Tl6 Tl 0.845 0.501 0.871
Zn1 Zn 0.281 0.495 0.733
Zn2 Zn 0.781 0.995 0.524
```